(1)
A plane-wave DFT calculation with GGA-PBE was carried out for a relaxed structure of Zr2ScAsAu.

abc: 5.149 5.149 4.794
angles: 90.00 90.00 90.00
Positions (direct):
Zr  0.000  0.500  0.000
Zr  0.500  0.000  0.000
Sc  0.000  0.000  0.000
As  0.500  0.500  0.500
Au  0.000  0.000  0.500

formation energy	4.7	eV/f.u.
crystal system	tetragonal

=====

(2)
A plane-wave DFT calculation with GGA-PBE was carried out for a relaxed structure of ErMgZnIr.

abc: 4.714 4.714 4.714
angles: 60.00 60.00 60.00
Positions (direct):
Er  0.000  0.000  0.000
Mg  0.500  0.500  0.500
Zn  0.250  0.250  0.250
Ir  0.750  0.750  0.750

formation energy	-1.8	eV/f.u.
crystal system	cubic

=====

(3)
A plane-wave DFT calculation with GGA-PBE was carried out for a relaxed structure of Na4B7C.

abc: 5.385 2.821 17.396
angles: 90.00 90.04 90.00
Positions (direct):
Na  0.000  0.000  0.000
Na  0.000  0.000  0.249
Na  0.000  0.000  0.500
Na  0.000  0.000  0.751
Na  0.498  0.500  0.750
Na  0.500  0.500  0.000
Na  0.500  0.500  0.500
Na  0.502  0.500  0.250
B  0.151  0.500  0.124
B  0.155  0.500  0.626
B  0.156  0.500  0.374
B  0.182  0.500  0.875
B  0.344  0.000  0.375
B  0.344  0.000  0.625
B  0.367  0.000  0.124
B  0.633  0.000  0.876
B  0.656  0.000  0.375
B  0.656  0.000  0.625
B  0.818  0.500  0.125
B  0.844  0.500  0.626
B  0.845  0.500  0.374
B  0.849  0.500  0.876
C  0.338  0.000  0.876
C  0.662  0.000  0.124

formation energy	2.8	eV/f.u.
polymorph energy (0 for the lowest one)	12.0	meV per atom
crystal system	monoclinic

=====

(4)
A plane-wave DFT calculation with GGA-PBE was carried out for a relaxed structure of Tl2VPd9.

abc: 4.004 4.004 12.137
angles: 90.00 90.00 90.00
Positions (direct):
Tl  0.000  0.000  0.170
Tl  0.000  0.000  0.830
V  0.000  0.000  0.500
Pd  0.000  0.500  0.000
Pd  0.000  0.500  0.350
Pd  0.000  0.500  0.650
Pd  0.500  0.000  0.000
Pd  0.500  0.000  0.350
Pd  0.500  0.000  0.650
Pd  0.500  0.500  0.175
Pd  0.500  0.500  0.500
Pd  0.500  0.500  0.825

formation energy	-2.8	eV/f.u.
crystal system	tetragonal

=====

(5)
A plane-wave DFT calculation with GGA-PBE was carried out for a relaxed structure of Sr6HgRh2I3.

abc: 7.729 7.729 8.754
angles: 98.49 98.49 119.89
Positions (direct):
Sr  0.067  0.432  0.797
Sr  0.203  0.203  0.201
Sr  0.432  0.067  0.797
Sr  0.568  0.933  0.203
Sr  0.797  0.797  0.799
Sr  0.933  0.568  0.203
Hg  0.500  0.500  0.000
Rh  0.168  0.832  0.000
Rh  0.832  0.168  0.000
I  0.000  0.000  0.500
I  0.339  0.661  0.500
I  0.661  0.339  0.500

formation energy (no corrections)	-792	meV/atom
crystal system	monoclinic

=====

(6)
A plane-wave DFT calculation with GGA-PBE was carried out for a relaxed structure of LaZnCo2Re.

abc: 4.468 4.468 4.750
angles: 90.00 90.00 90.00
Positions (direct):
La  0.000  0.000  0.000
Zn  0.500  0.500  0.500
Co  0.000  0.500  0.500
Co  0.500  0.000  0.500
Re  0.500  0.500  0.000

formation energy	4.4	eV/f.u.
crystal system	tetragonal

=====

(7)
A plane-wave DFT calculation with GGA-PBE was carried out for a relaxed structure of PtSeI.

abc: 3.889 3.889 6.920
angles: 105.77 105.77 59.79
Positions (direct):
Pt  0.000  0.000  0.000
Se  0.607  0.607  0.815
I  0.418  0.418  0.260

formation energy (no corrections)	-76	meV/atom
crystal system	monoclinic

=====

(8)
A plane-wave DFT calculation with GGA-PBE was carried out for a relaxed structure of Er2PaTl.

abc: 10.883 10.883 10.883
angles: 18.19 18.19 18.19
Positions (direct):
Er  0.250  0.250  0.250
Er  0.750  0.750  0.750
Pa  0.500  0.500  0.500
Tl  0.000  0.000  0.000

formation energy	-0.2	eV/f.u.
polymorph energy (0 for the lowest one)	10.2	meV per atom
crystal system	trigonal

=====

Computed values of total moment (unit: μB per cell) for the preceding records, in sequence: 0.00; 0.00; 0.00; 0.00; 0.64; 3.72; 0.00; 0.00.
Computed values of E_tot (unit: eV per cell) for the preceding records, in sequence: -26.686; -18.089; -116.867; -63.406; -39.255; -28.497; -11.303; -21.211.